1.
Entry from Alexandria via LeMat-Bulk: crystalline Tm3SnHg5 at its relaxed geometry (PBE-GGA).

abc: 6.324 8.903 8.903
angles: 120.00 90.00 90.00
Atoms (fractional coordinates):
Hg: 0.000 0.333 0.667
Tm: 0.750 0.331 0.331
Sn: 0.000 0.000 0.000
Hg: 0.750 0.340 0.000
Hg: 0.000 0.667 0.333
Hg: 0.250 0.340 0.339
Tm: 0.250 0.669 0.669
Hg: 0.500 0.667 0.333
Sn: 0.500 0.000 0.000
Hg: 0.250 0.660 0.000
Hg: 0.250 0.000 0.661
Tm: 0.750 0.669 0.000
Tm: 0.250 0.000 0.331
Tm: 0.750 0.000 0.669
Hg: 0.750 0.000 0.339
Tm: 0.250 0.331 0.000
Hg: 0.500 0.333 0.667
Hg: 0.750 0.660 0.661

Properties
* formation energy from the elements: -3.4 eV per formula unit
* electronic total energy: -44.7 eV for the cell shown



2.
Entry from Alexandria via LeMat-Bulk: crystalline Tm5Sn2Hg2 at its relaxed geometry (PBE-GGA).

abc: 7.718 8.147 8.768
angles: 117.69 90.00 90.00
Atoms (fractional coordinates):
Tm: 0.164 0.190 0.726
Tm: 0.336 0.690 0.726
Sn: 0.000 0.794 0.587
Tm: 0.164 0.464 0.274
Tm: 0.000 0.000 0.000
Tm: 0.664 0.036 0.726
Tm: 0.500 0.500 0.000
Tm: 0.836 0.810 0.274
Sn: 0.500 0.706 0.413
Tm: 0.664 0.310 0.274
Tm: 0.336 0.964 0.274
Hg: 0.631 0.866 0.000
Sn: 0.500 0.294 0.587
Sn: 0.000 0.206 0.413
Hg: 0.131 0.634 0.000
Hg: 0.369 0.134 0.000
Hg: 0.869 0.366 0.000
Tm: 0.836 0.536 0.726

Properties
* formation energy from the elements: -4.5 eV per formula unit
* electronic total energy: -71.0 eV for the cell shown



3.
Entry from Alexandria via LeMat-Bulk: crystalline TmSn2Hg2 at its relaxed geometry (PBE-GGA).

abc: 4.574 4.427 12.384
angles: 90.00 100.64 90.00
Atoms (fractional coordinates):
Tm: 0.647 0.750 0.295
Hg: 0.547 0.250 0.093
Hg: 0.453 0.750 0.907
Tm: 0.353 0.250 0.705
Sn: 0.250 0.750 0.500
Hg: 0.951 0.250 0.901
Sn: 0.750 0.250 0.500
Sn: 0.857 0.750 0.715
Sn: 0.143 0.250 0.285
Hg: 0.049 0.750 0.099

Properties
* formation energy from the elements: -1.3 eV per formula unit
* electronic total energy: -28.8 eV for the cell shown



4.
Entry from Alexandria via LeMat-Bulk: crystalline Tm5SnHg at its relaxed geometry (PBE-GGA).

abc: 6.160 6.160 10.583
angles: 93.19 93.19 91.59
Atoms (fractional coordinates):
Tm: 0.862 0.138 0.250
Tm: 0.606 0.033 0.661
Tm: 0.552 0.757 0.011
Tm: 0.967 0.394 0.839
Tm: 0.757 0.552 0.511
Tm: 0.033 0.606 0.161
Tm: 0.138 0.862 0.750
Tm: 0.448 0.243 0.989
Sn: 0.511 0.489 0.250
Hg: 0.000 0.000 0.000
Tm: 0.243 0.448 0.489
Tm: 0.394 0.967 0.339
Sn: 0.489 0.511 0.750
Hg: 0.000 0.000 0.500

Properties
* formation energy from the elements: -1.4 eV per formula unit
* electronic total energy: -56.1 eV for the cell shown



Number 1: density of states at the Fermi level 8.761 states/eV per cell, size of the total moment 0.00 μB per cell. Number 2: density of states at the Fermi level 19.374 states/eV per cell, size of the total moment 0.00 μB per cell. Number 3: density of states at the Fermi level 4.201 states/eV per cell, size of the total moment 0.00 μB per cell. Number 4: density of states at the Fermi level 13.487 states/eV per cell, size of the total moment 0.00 μB per cell.